Entry from Alexandria: a relaxed structure of La8Ir3PtCl4 (GGA-PBE).

- Spin magnetization: 0.00 μB per cell
- Energy relative to the elements, uncorrected: -1370 meV per atom
- Electronic total energy: -101.35 eV for the cell shown

a b c (Å): 8.420 8.420 9.040
angles (deg): 117.79 117.79 60.01
Fractional coordinates of all 16 atoms:
La1 0.229 0.738 0.705
La2 0.235 0.235 0.705
La3 0.262 0.262 0.295
La4 0.262 0.771 0.295
La5 0.738 0.229 0.705
La6 0.738 0.738 0.705
La7 0.765 0.765 0.295
La8 0.771 0.262 0.295
Ir1 0.000 0.000 0.500
Ir2 0.000 0.500 0.500
Ir3 0.500 0.000 0.500
Pt1 0.500 0.500 0.500
Cl1 0.000 0.000 0.000
Cl2 0.000 0.500 0.000
Cl3 0.500 0.000 0.000
Cl4 0.500 0.500 0.000